Here is a crystal of AlZnH4O2F5 relaxed with PBEsol from Alexandria via LeMat-Bulk. Energies are from SCAN.

a b c (Å): 7.2328 10.4867 6.2721
angles (deg): 90.00 90.00 90.00
With the nearest neighbours (Å) after each atom.
Space group Imma (No. 74)
Inequivalent atoms, fractional coordinates:
1 Al 0.2500 0.2500 0.2500 x4  6 F 1.81-1.84
2 Zn 0.0000 0.0000 0.0000 x4  2 O 1.97, 4 F 2.10
3 H 0.1104 0.0897 0.6199 x16  1 O 0.99
4 O 0.0000 0.0658 0.7051 x8  2 H 0.99
5 F 0.0000 0.2500 0.3050 x4  2 Al 1.84
6 F 0.2194 0.1280 0.0496 x16  1 H 1.68, 1 Al 1.81

Summary:
Its crystal system is orthorhombic. Its total energy is -378.39 eV/cell.